# 1
The following is a GGA-PBE calculation of a geometry-optimized LiPmPbSe3 structure, from the Alexandria database.

POSCAR file:
```
LiPmPbSe3
1.0
-0.167 4.041 1.150
-8.600 0.076 -1.513
0.272 -2.464 8.699
Li Pm Pb Se
2 2 2 6
Direct
0.250 0.083 0.583
0.750 0.917 0.417
0.250 0.666 0.172
0.750 0.334 0.828
0.250 0.179 0.229
0.750 0.821 0.771
0.750 0.891 0.130
0.250 0.109 0.870
0.250 0.788 0.495
0.750 0.212 0.505
0.750 0.427 0.166
0.250 0.573 0.834
```

- Formation energy without anion corrections: -1.240 eV/atom
- V: 27.12 A^3/atom
- Symmetry: P2_1/m (11)

---

# 2
The following is a GGA-PBE calculation of a geometry-optimized LiPmPb2Se4 structure, from the Alexandria database.

POSCAR file:
```
LiPmPb2Se4
1.0
4.273 0.000 0.000
0.000 7.465 -0.226
0.000 2.553 6.814
Li Pm Pb Se
1 1 2 4
Direct
0.500 0.500 0.000
0.000 0.500 0.500
0.000 0.000 0.000
0.500 0.000 0.500
0.000 0.731 0.757
0.000 0.269 0.243
0.500 0.730 0.252
0.500 0.270 0.748
```

- Formation energy without anion corrections: -1.081 eV/atom
- V: 27.48 A^3/atom
- Symmetry: P2/m (10)

---

# 3
The following is a GGA-PBE calculation of a geometry-optimized Li2Pm2SmPb2 structure, from the Alexandria database.

POSCAR file:
```
Li2Pm2SmPb2
1.0
-3.604 2.287 -2.358
-4.591 -1.581 0.442
-3.951 5.813 6.636
Li Pm Sm Pb
2 2 1 2
Direct
0.598 0.598 0.205
0.402 0.402 0.795
0.129 0.129 0.613
0.871 0.871 0.387
0.000 0.000 0.000
0.735 0.735 0.795
0.265 0.265 0.205
```

- V: 27.20 A^3/atom
- Symmetry: R-3m (166)
- Total energy: -3.982 eV/atom

---

# 4
The following is a GGA-PBE calculation of a geometry-optimized LiPmSmPb structure, from the Alexandria database.

POSCAR file:
```
LiPmSmPb
1.0
-2.615 2.326 -4.112
-4.313 -2.417 -2.170
-4.926 2.075 0.762
Pb Li Sm Pm
1 1 1 1
Direct
0.500 0.500 0.500
0.000 0.000 0.000
0.750 0.750 0.750
0.250 0.250 0.250
```

- V: 27.83 A^3/atom
- Symmetry: F-43m (216)
- Total energy: -4.089 eV/atom

---

# 5
The following is a GGA-PBE calculation of a geometry-optimized LiPmSnPb structure, from the Alexandria database.

POSCAR file:
```
LiPmSnPb
1.0
5.329 0.000 0.000
2.665 4.615 0.000
2.665 1.538 4.351
Pb Li Sn Pm
1 1 1 1
Direct
0.750 0.750 0.750
0.500 0.500 0.500
0.250 0.250 0.250
0.000 0.000 0.000
```

- V: 26.75 A^3/atom
- Excess energy over the best structure of this formula in the dataset: 0.145 eV/atom
- Symmetry: F-43m (216)

---

# 6
The following is a GGA-PBE calculation of a geometry-optimized LiPmSnPb structure, from the Alexandria database.

POSCAR file:
```
LiPmSnPb
1.0
4.534 0.000 0.000
0.000 4.710 0.000
0.000 0.000 4.824
Li Pm Sn Pb
1 1 1 1
Direct
0.500 0.000 0.500
0.500 0.500 0.000
0.000 0.000 0.000
0.000 0.500 0.500
```

- V: 25.76 A^3/atom
- Excess energy over the best structure of this formula in the dataset: 0.000 eV/atom
- Symmetry: Pmmm (47)

---

# 7
The following is a GGA-PBE calculation of a geometry-optimized SrLiPmPb structure, from the Alexandria database.

POSCAR file:
```
SrLiPmPb
1.0
5.591 0.000 0.000
2.795 4.842 0.000
2.795 1.614 4.565
Pb Sr Li Pm
1 1 1 1
Direct
0.500 0.500 0.500
0.750 0.750 0.750
0.000 0.000 0.000
0.250 0.250 0.250
```

- V: 30.89 A^3/atom
- Symmetry: F-43m (216)
- Total energy: -3.304 eV/atom

---

# 8
The following is a GGA-PBE calculation of a geometry-optimized SrLi2Pm2Pb2 structure, from the Alexandria database.

POSCAR file:
```
SrLi2Pm2Pb2
1.0
-0.354 4.614 1.794
-3.071 0.965 3.778
5.991 -0.035 8.140
Sr Li Pm Pb
1 2 2 2
Direct
0.000 0.000 0.000
0.586 0.586 0.243
0.414 0.414 0.757
0.131 0.131 0.608
0.869 0.869 0.392
0.745 0.745 0.766
0.255 0.255 0.234
```

- V: 29.54 A^3/atom
- Symmetry: R-3m (166)
- Total energy: -3.582 eV/atom

---

# 9
The following is a GGA-PBE calculation of a geometry-optimized LiTbPmPb structure, from the Alexandria database.

POSCAR file:
```
LiTbPmPb
1.0
5.357 0.000 0.000
2.678 4.639 0.000
2.678 1.546 4.374
Pb Li Tb Pm
1 1 1 1
Direct
0.500 0.500 0.500
0.000 0.000 0.000
0.250 0.250 0.250
0.750 0.750 0.750
```

- V: 27.17 A^3/atom
- Symmetry: F-43m (216)
- Total energy: -4.051 eV/atom

---

# 10
The following is a GGA-PBE calculation of a geometry-optimized LiPm2Te4Pb structure, from the Alexandria database.

POSCAR file:
```
LiPm2Te4Pb
1.0
4.447 0.000 0.000
0.000 7.940 -0.259
0.000 2.692 7.178
Li Pm Te Pb
1 2 4 1
Direct
0.000 0.500 0.500
0.000 0.000 0.000
0.500 0.000 0.500
0.000 0.749 0.741
0.000 0.251 0.259
0.500 0.747 0.257
0.500 0.253 0.743
0.500 0.500 0.000
```

- Formation energy without anion corrections: -1.063 eV/atom
- V: 32.07 A^3/atom
- Symmetry: P2/m (10)

---

# 11
The following is a GGA-PBE calculation of a geometry-optimized Li2Pm2ThPb2 structure, from the Alexandria database.

POSCAR file:
```
Li2Pm2ThPb2
1.0
4.916 0.000 0.000
2.458 4.257 0.000
2.458 1.419 9.165
Li Pm Th Pb
2 2 1 2
Direct
0.595 0.595 0.216
0.405 0.405 0.784
0.129 0.129 0.614
0.871 0.871 0.386
0.000 0.000 0.000
0.735 0.735 0.796
0.265 0.265 0.204
```

- V: 27.40 A^3/atom
- Symmetry: R-3m (166)
- Total energy: -4.277 eV/atom

---

# 12
The following is a GGA-PBE calculation of a geometry-optimized Li2Pm2TmPb2 structure, from the Alexandria database.

POSCAR file:
```
Li2Pm2TmPb2
1.0
-0.308 -4.785 -0.622
3.599 -2.393 -2.167
5.112 -3.705 7.188
Li Pm Tm Pb
2 2 1 2
Direct
0.606 0.606 0.183
0.394 0.394 0.817
0.127 0.127 0.618
0.873 0.873 0.382
0.000 0.000 0.000
0.732 0.732 0.804
0.268 0.268 0.196
```

- V: 26.47 A^3/atom
- Symmetry: R-3m (166)
- Total energy: -3.915 eV/atom